VASP calculation (PBE) on a relaxed POsRh2 crystal.

## Properties
total magnetic moment: 0.00 μB/f.u.
E_form: 0.24 eV per atom
ρ: 12.54 g/cm³

Cell: 2.744 2.744 8.646 Å, 90.00 90.00 119.74°
Atoms (fractional coordinates):
1 P 0.500 0.500 0.000
2 Os 0.500 0.500 0.500
3 Rh 0.000 0.000 0.225
4 Rh 0.000 0.000 0.775